(1)
Below is a relaxed RbScCrFe2 crystal, with properties calculated at the PBE level.

Properties
**D(E_F)**: 6.893 states/eV per cell
**DFT total energy**: -26.4 eV for the cell shown
**DFT formation energy**: 1.50 eV per atom

Cell: 4.484 5.279 4.484 Å, 90.00 90.00 90.00°
Each line ends with the local moment (μB).
Atoms (fractional coordinates):
Sc1 0.500 0.500 0.500  -0.22
Cr1 0.000 0.000 0.000  -2.14
Fe1 0.000 0.000 0.500  2.45
Fe2 0.500 0.000 0.000  1.96
Rb1 0.000 0.500 0.000  -0.06



(2)
Below is a relaxed Rb2CrFeSe4 crystal, with properties calculated at the PBE level.

Properties
**D(E_F)**: 5.729 states/eV per cell
**DFT total energy**: -80.0 eV for the cell shown
**Formation energy from raw total energies**: -756 meV/atom

Cell: 5.563 7.613 12.708 Å, 85.41 77.36 68.57°
Each line ends with the local moment (μB).
Atoms (fractional coordinates):
Rb1 0.179 0.000 0.643  0.01
Rb2 0.821 0.000 0.357  0.01
Rb3 0.571 0.500 0.857  0.01
Rb4 0.929 0.500 0.143  0.01
Cr1 0.750 0.500 0.500  0.60
Cr2 0.000 0.000 0.000  0.60
Fe1 0.250 0.500 0.500  2.60
Fe2 0.500 0.000 0.000  2.60
Se1 0.283 0.811 0.107  0.06
Se2 0.201 0.189 0.893  0.06
Se3 0.906 0.811 0.893  0.06
Se4 0.610 0.189 0.107  0.06
Se5 0.467 0.689 0.393  0.06
Se6 0.549 0.311 0.607  0.06
Se7 0.844 0.689 0.607  0.06
Se8 0.140 0.311 0.393  0.06



(3)
Below is a relaxed CrFeRe2 crystal, with properties calculated at the PBE level.

Properties
**D(E_F)**: 3.422 states/eV per cell
**DFT total energy**: -42.4 eV for the cell shown
**DFT formation energy**: 0.13 eV per atom

Cell: 4.184 2.605 5.063 Å, 79.83 90.00 90.00°
Each line ends with the local moment (μB).
Atoms (fractional coordinates):
Cr1 0.500 0.250 0.250  0.08
Fe1 0.500 0.750 0.750  2.41
Re1 0.000 0.004 0.000  0.03
Re2 0.000 0.496 0.500  0.03